No. 1
First-principles (GGA-PBE) data for an optimized crystal structure of Al2CuSi3, as listed in the Alexandria database.

Cell: 6.215 6.215 3.865 Å, 90.00 90.00 144.24°
Fractional positions:
Al  0.164  0.836  0.000
Al  0.836  0.164  0.000
Cu  0.000  0.000  0.500
Si  0.340  0.660  0.500
Si  0.500  0.500  0.000
Si  0.660  0.340  0.500

Calculated values
- DFT total energy: -4.443 eV/atom
- Energy relative to the elements, uncorrected: 1.2 eV/f.u.
- Space-group type: Cmmm, No. 65

---

No. 2
First-principles (GGA-PBE) data for an optimized crystal structure of AlCuSi2, as listed in the Alexandria database.

Cell: 4.638 4.638 4.638 Å, 130.04 130.04 73.34°
Fractional positions:
Al  0.000  0.000  0.000
Cu  0.250  0.750  0.500
Si  0.500  0.500  0.000
Si  0.750  0.250  0.500

Calculated values
- DFT total energy: -4.443 eV/atom
- Energy relative to the elements, uncorrected: 0.9 eV/f.u.
- Space-group type: I-4m2, No. 119

---

No. 3
First-principles (GGA-PBE) data for an optimized crystal structure of AlCuSi, as listed in the Alexandria database.

Cell: 4.795 4.796 4.864 Å, 104.74 104.66 118.62°
Fractional positions:
Al  0.000  0.000  0.000
Al  0.497  0.796  0.292
Cu  0.103  0.900  0.503
Cu  0.603  0.400  0.504
Si  0.191  0.487  0.678
Si  0.689  0.315  0.006

Calculated values
- DFT total energy: -4.425 eV/atom
- Energy relative to the elements, uncorrected: 0.0 eV/f.u.
- Space-group type: P1, No. 1